No. 1
This record from Alexandria describes an optimized crystal structure of CaScGa6. The functional is PBE.

a = 4.3886 Å, b = 6.0930 Å, c = 5.8019 Å
α = 90.00°, β = 90.00°, γ = 90.00°
Closest atoms and distances in Å follow each position.
Space group Pmm2 (No. 25)
Symmetry-distinct sites (fractional):
Ca 0.0000 0.0000 0.0000 x1  10 Ga 3.06-3.19
Sc 0.5000 0.5000 0.2368 x1  10 Ga 2.90-3.15
Ga 0.0000 0.2702 0.4706 x2  6 Ga 2.77-2.91, 2 Sc 2.94
Ga 0.0000 0.5000 0.9104 x1  6 Ga 2.75-2.91, 2 Sc 2.90
Ga 0.5000 0.0000 0.3737 x1  6 Ga 2.78-2.80, 2 Ca 3.08
Ga 0.5000 0.2661 0.7623 x2  6 Ga 2.75-2.85, 2 Ca 3.06

The value obtained for the calculated volume is 155.1 Å³/f.u. The value obtained for the energy relative to the elements is -0.36 eV/atom. The magnetic moment is 0.000 μB/atom.

No. 2
This record from Alexandria describes an optimized crystal structure of Nb2AlH. The functional is PBE.

a = 5.3677 Å, b = 5.3677 Å, c = 9.2221 Å
α = 90.00°, β = 90.00°, γ = 90.00°
Closest atoms and distances in Å follow each position.
Space group I4_1/amd (No. 141, origin choice 2)
Symmetry-distinct sites (fractional):
Nb 0.0000 0.0000 0.0000 x8  2 H 1.77
Al 0.0000 0.2500 0.3750 x4  8 Nb 3.21, 4 Al 3.54, 4 H 3.54
H 0.0000 0.2500 0.8750 x4  4 Nb 1.77

The value obtained for the calculated volume is 66.4 Å³/f.u. The total energy comes out at -6.425 eV per atom. The magnetic moment is 0.000 μB/atom.

No. 3
This record from Alexandria describes an optimized crystal structure of Pr8Te4Ir3Cl. The functional is PBE.

a = 8.6172 Å, b = 8.6172 Å, c = 22.6048 Å
α = 90.00°, β = 90.00°, γ = 120.00°
Closest atoms and distances in Å follow each position.
Space group R-3m (No. 166, hexagonal axes)
Symmetry-distinct sites (fractional):
Pr 0.0000 0.0000 0.2357 x6  3 Ir 2.94
Pr 0.0200 0.5100 0.7613 x18  2 Ir 2.91, 1 Cl 3.10, 1 Te 3.17
Te 0.0000 0.0000 0.0000 x3  6 Pr 3.17
Te 0.0000 0.5000 0.0000 x9  6 Pr 3.33-3.34
Ir 0.0000 0.5000 0.5000 x9  6 Pr 2.91-2.94
Cl 0.0000 0.0000 0.5000 x3  6 Pr 3.10

The value obtained for the calculated volume is 484.6 Å³/f.u. The total energy comes out at -6.091 eV per atom. The magnetic moment is 0.000 μB/atom.

No. 4
This record from Alexandria describes an optimized crystal structure of BaTa2In. The functional is PBE.

a = 5.1229 Å, b = 5.1229 Å, c = 7.3142 Å
α = 90.00°, β = 90.00°, γ = 90.00°
Closest atoms and distances in Å follow each position.
Space group I-4m2 (No. 119)
Symmetry-distinct sites (fractional):
Ba 0.0000 0.0000 0.0000 x2  4 Ta 3.15, 4 In 3.15
Ta 0.0000 0.0000 0.5000 x2  4 Ta 3.15, 4 In 3.15
Ta 0.0000 0.5000 0.7500 x2  4 Ba 3.15, 4 Ta 3.15
In 0.0000 0.5000 0.2500 x2  4 Ba 3.15, 4 Ta 3.15

The value obtained for the calculated volume is 96.0 Å³/f.u. The value obtained for the energy relative to the elements is 0.90 eV/atom. Its energy above the most stable polymorph in this dataset is 198.3 kJ/mol of formula units. The magnetic moment is 0.000 μB/atom.

No. 5
This record from Alexandria describes an optimized crystal structure of NaHg4Os2. The functional is PBE.

a = 5.3198 Å, b = 5.3198 Å, c = 14.1638 Å
α = 90.00°, β = 90.00°, γ = 90.00°
Closest atoms and distances in Å follow each position.
Space group I4/mmm (No. 139)
Symmetry-distinct sites (fractional):
Na 0.0000 0.0000 0.0000 x2  4 Hg 2.66
Hg 0.0000 0.0000 0.2220 x4  1 Os 2.77
Hg 0.0000 0.5000 0.0000 x4  2 Na 2.66, 4 Os 2.90
Os 0.0000 0.0000 0.4176 x4  1 Os 2.33

The value obtained for the calculated volume is 200.4 Å³/f.u. The value obtained for the energy relative to the elements is 1.07 eV/atom. The magnetic moment is 0.535 μB/atom.

No. 6
This record from Alexandria describes an optimized crystal structure of Tl2In2H. The functional is PBE.

a = 6.4632 Å, b = 6.4632 Å, c = 5.8619 Å
α = 90.00°, β = 90.00°, γ = 90.00°
Closest atoms and distances in Å follow each position.
Space group P4/mbm (No. 127)
Symmetry-distinct sites (fractional):
Tl 0.1813 0.3187 0.0000 x4  2 In 3.21, 5 Tl 3.31-3.35
In 0.1761 0.6761 0.5000 x4  2 H 2.38
H 0.0000 0.0000 0.5000 x2  4 In 2.38

The value obtained for the calculated volume is 122.4 Å³/f.u. Its energy above the most stable polymorph in this dataset is 0.0 kJ/mol of formula units. The magnetic moment is 0.000 μB/atom.

No. 7
This record from Alexandria describes an optimized crystal structure of VNiSe3. The functional is PBE.

a = 4.6729 Å, b = 4.6729 Å, c = 4.6729 Å
α = 90.00°, β = 90.00°, γ = 90.00°
Closest atoms and distances in Å follow each position.
Space group Pm-3m (No. 221)
Symmetry-distinct sites (fractional):
V 0.0000 0.0000 0.0000 x1  12 Se 3.30
Ni 0.5000 0.5000 0.5000 x1  6 Se 2.34
Se 0.0000 0.5000 0.5000 x3  2 Ni 2.34

The value obtained for the calculated volume is 102.0 Å³/f.u. Its energy above the most stable polymorph in this dataset is 415.9 kJ/mol of formula units. The magnetic moment is 0.495 μB/atom.

No. 8
This record from Alexandria describes an optimized crystal structure of Hf4GeAu. The functional is PBE.

a = 7.1453 Å, b = 6.2159 Å, c = 6.2186 Å
α = 90.00°, β = 98.15°, γ = 90.00°
Closest atoms and distances in Å follow each position.
Space group P2_1/c (No. 14)
Symmetry-distinct sites (fractional):
Hf 0.1342 0.1310 0.3892 x4  2 Ge 2.60-2.62, 1 Au 2.73
Hf 0.3082 0.6324 0.3426 x4  1 Ge 2.66, 2 Au 2.77-2.81
Ge 0.0000 0.0000 0.0000 x2  6 Hf 2.60-2.66
Au 0.5000 0.0000 0.5000 x2  6 Hf 2.73-2.81

The value obtained for the calculated volume is 136.7 Å³/f.u. The value obtained for the energy relative to the elements is 0.01 eV/atom. The magnetic moment is 0.000 μB/atom.

No. 9
This record from Alexandria describes an optimized crystal structure of Pa2IrC. The functional is PBE.

a = 3.6313 Å, b = 3.6313 Å, c = 20.1724 Å
α = 90.00°, β = 90.00°, γ = 120.00°
Closest atoms and distances in Å follow each position.
Space group R3m (No. 160, hexagonal axes)
Symmetry-distinct sites (fractional):
Pa 0.0000 0.0000 0.0000 x3  3 C 2.50, 3 Ir 2.80
Pa 0.0000 0.0000 0.1461 x3  3 C 2.63, 3 Ir 2.85
Ir 0.0000 0.0000 0.5750 x3  6 Pa 2.80-2.85
C 0.0000 0.0000 0.4007 x3  6 Pa 2.50-2.63

The value obtained for the calculated volume is 76.8 Å³/f.u. The value obtained for the energy relative to the elements is -0.29 eV/atom. Its energy above the most stable polymorph in this dataset is 78.6 kJ/mol of formula units. The magnetic moment is 0.000 μB/atom.

No. 10
This record from Alexandria describes an optimized crystal structure of NaHf2Mn. The functional is PBE.

a = 6.6124 Å, b = 6.6124 Å, c = 6.6124 Å
α = 90.00°, β = 90.00°, γ = 90.00°
Closest atoms and distances in Å follow each position.
Space group Fm-3m (No. 225)
Symmetry-distinct sites (fractional):
Na 0.0000 0.0000 0.0000 x4  8 Hf 2.86
Hf 0.2500 0.2500 0.2500 x8  4 Mn 2.86, 4 Na 2.86
Mn 0.0000 0.0000 0.5000 x4  8 Hf 2.86

The value obtained for the calculated volume is 72.3 Å³/f.u. The value obtained for the energy relative to the elements is 0.51 eV/atom. Its energy above the most stable polymorph in this dataset is 0.0 kJ/mol of formula units. The magnetic moment is 0.000 μB/atom.

No. 11
This record from Alexandria describes an optimized crystal structure of Pr4Sm5Tm2. The functional is PBE.

a = 24.2988 Å, b = 3.5744 Å, c = 8.8045 Å
α = 90.00°, β = 94.39°, γ = 90.00°
Closest atoms and distances in Å follow each position.
Space group C2/m (No. 12)
Symmetry-distinct sites (fractional):
Pr 0.0403 0.0000 0.3459 x4  3 Pr 3.47-3.57, 4 Sm 3.56-3.60, 4 Tm 3.58-3.68
Pr 0.2258 0.5000 0.8254 x4  1 Tm 3.46, 6 Sm 3.56-3.64, 4 Pr 3.57-3.67
Sm 0.0000 0.5000 0.0000 x2  2 Tm 3.53, 6 Sm 3.57-3.62, 4 Pr 3.60
Sm 0.1297 0.0000 0.0440 x4  4 Pr 3.56-3.61, 5 Sm 3.57-3.93, 2 Tm 3.62
Sm 0.1841 0.0000 0.4756 x4  4 Pr 3.56-3.64, 5 Sm 3.57-3.93, 2 Tm 3.64
Tm 0.0875 0.5000 0.6975 x4  5 Pr 3.46-3.68, 5 Sm 3.53-3.64, 2 Tm 3.57

The value obtained for the calculated volume is 381.2 Å³/f.u. The value obtained for the energy relative to the elements is 0.10 eV/atom. Its energy above the most stable polymorph in this dataset is 0.0 kJ/mol of formula units. The magnetic moment is 0.000 μB/atom.

No. 12
This record from Alexandria describes an optimized crystal structure of TiVInMo. The functional is PBE.

a = 6.4166 Å, b = 6.4166 Å, c = 6.4166 Å
α = 90.00°, β = 90.00°, γ = 90.00°
Closest atoms and distances in Å follow each position.
Space group F-43m (No. 216)
Symmetry-distinct sites (fractional):
Ti 0.0000 0.0000 0.0000 x4  4 In 2.78, 4 Mo 2.78
V 0.0000 0.0000 0.5000 x4  4 Mo 2.78, 4 In 2.78
In 0.2500 0.2500 0.7500 x4  4 V 2.78, 4 Ti 2.78
Mo 0.2500 0.2500 0.2500 x4  4 Ti 2.78, 4 V 2.78

The value obtained for the calculated volume is 66.0 Å³/f.u. The value obtained for the energy relative to the elements is 0.00 eV/atom. The magnetic moment is 0.068 μB/atom.

Q: Which value of magnetic moment does entry 9 give?
A: 0.000 μB/atom